(1)
Cs3Er2I9 | PBE | relaxed

```
28
Lattice="8.5924 0.0000 0.0000 -4.2962 7.4413 0.0000 0.0000 0.0000 21.8963" Properties=species:S:1:pos:R:3 pbc="T T T"
Cs 0.0000 0.0000 5.4741
Cs 0.0000 0.0000 16.4223
Cs 0.0000 4.9608 1.3704
Cs 0.0000 4.9608 9.5778
Cs 4.2962 2.4804 12.3185
Cs 4.2962 2.4804 20.5260
Er 0.0000 4.9608 14.3934
Er 0.0000 4.9608 18.4511
Er 4.2962 2.4804 3.4452
Er 4.2962 2.4804 7.5029
I -2.0565 3.7736 16.4223
I 0.0000 2.4698 12.8591
I 0.0000 2.4698 19.9854
I -2.1573 6.2064 12.8591
I -2.1573 6.2064 19.9854
I 2.1389 1.2349 1.9109
I 2.1389 1.2349 9.0373
I 2.0564 3.7736 16.4223
I 0.0000 7.3354 16.4223
I 4.2962 0.1058 5.4741
I 2.2398 3.6677 5.4741
I 2.1573 6.2064 12.8591
I 2.1573 6.2064 19.9854
I 6.4535 1.2349 1.9109
I 6.4535 1.2349 9.0373
I 4.2962 4.9715 1.9109
I 4.2962 4.9715 9.0373
I 6.3527 3.6677 5.4741
```

Output
Its calculated volume is 50.0 Å³ per atom. For the mass density, the calculation gives 4.4 g/cm3.



(2)
Cs3Er2I9 | PBE | relaxed

```
28
Lattice="7.4050 4.2753 7.2536 -7.4050 4.2753 7.2536 0.0000 -8.5506 7.2536" Properties=species:S:1:pos:R:3 pbc="T T T"
Cs -4.9004 0.0628 9.0669
Cs -2.5046 -4.2125 12.6937
Cs 2.3959 -4.2753 9.0669
Cs -2.3959 4.2753 12.6937
Cs 2.5046 4.2125 9.0670
Cs 4.9004 -0.0628 12.6937
Er 0.0000 0.0000 3.3954
Er 0.0000 0.0000 7.4850
Er 0.0000 0.0000 14.2757
Er 0.0000 0.0000 18.3653
I -6.1838 -2.0240 12.5352
I -1.3391 -6.3673 9.2255
I -2.3502 0.0000 5.4402
I -1.3391 -2.1833 8.9084
I 1.1751 -2.0354 5.4402
I -4.8447 4.3433 9.2255
I 1.1751 2.0354 5.4402
I -1.2212 2.2513 8.9084
I -2.5603 0.0681 12.8523
I 2.5603 -0.0681 8.9084
I 1.2212 -2.2513 12.8523
I -1.1751 -2.0353 16.3205
I 4.8447 -4.3434 12.5352
I -1.1751 2.0354 16.3205
I 1.3391 2.1833 12.8523
I 2.3502 0.0000 16.3205
I 1.3391 6.3673 12.5352
I 6.1838 2.0240 9.2255
```

Output
Its calculated volume is 49.2 Å³ per atom. For the mass density, the calculation gives 4.5 g/cm3.



Quick look at relative energies in meV per atom: (1) 0; (2) 6.